Entry from Alexandria: a relaxed structure of LiPuInPb (PBE).

Results
The value obtained for the total moment is 5.75 μB/f.u. Its energy above the most stable polymorph in this dataset is 0.00 kcal/mol of atoms.

Structure (CIF):
```
data_LiPuInPb
_cell_length_a 7.422
_cell_length_b 7.422
_cell_length_c 7.422
_cell_angle_alpha 90.00
_cell_angle_beta 90.00
_cell_angle_gamma 90.00
_space_group_name_H-M_alt 'F -4 3 m'
_space_group_IT_number 216
_space_group_name_Hall 'F -4 2 3'
loop_
_atom_site_label
_atom_site_fract_x
_atom_site_fract_y
_atom_site_fract_z
_atom_site_occupancy
Li1 0.000 0.000 0.000 1
Pu1 0.000 0.000 0.500 1
In1 0.250 0.250 0.250 1
Pb1 0.250 0.250 0.750 1
```

***

Entry from Alexandria: a relaxed structure of LiPuInPb (PBE).

Results
The value obtained for the total moment is 5.75 μB/f.u. Its energy above the most stable polymorph in this dataset is 0.43 kcal/mol of atoms.

Structure (CIF):
```
data_LiPuInPb
_cell_length_a 3.387
_cell_length_b 5.493
_cell_length_c 5.580
_cell_angle_alpha 90.00
_cell_angle_beta 90.00
_cell_angle_gamma 90.00
_space_group_name_H-M_alt 'P m m m'
_space_group_IT_number 47
_space_group_name_Hall '-P 2 2'
loop_
_atom_site_label
_atom_site_fract_x
_atom_site_fract_y
_atom_site_fract_z
_atom_site_occupancy
Li1 0.000 0.000 0.000 1
Pu1 0.000 0.500 0.500 1
In1 0.500 0.000 0.500 1
Pb1 0.500 0.500 0.000 1
```

***

Entry from Alexandria: a relaxed structure of LiInRhPb (PBE).

Results
The value obtained for the total moment is 0.00 μB/f.u. The calculated total energy is -4.19 eV per atom.

Structure (CIF):
```
data_LiInRhPb
_cell_length_a 6.684
_cell_length_b 6.684
_cell_length_c 6.684
_cell_angle_alpha 90.00
_cell_angle_beta 90.00
_cell_angle_gamma 90.00
_space_group_name_H-M_alt 'F -4 3 m'
_space_group_IT_number 216
_space_group_name_Hall 'F -4 2 3'
loop_
_atom_site_label
_atom_site_fract_x
_atom_site_fract_y
_atom_site_fract_z
_atom_site_occupancy
Li1 0.000 0.000 0.000 1
In1 0.250 0.250 0.750 1
Rh1 0.000 0.000 0.500 1
Pb1 0.250 0.250 0.250 1
```

***

Calculated values (Å³/atom) of V for the records, taken in order: 25.55; 25.95; 18.66.
Calculated values (g/cm3) of mass density for the records, taken in order: 9.3; 9.2; 9.6.